No. 1
Zr5Au after structural relaxation. Source: Alexandria, functional PBE.

Calculated values
Formation enthalpy at 0 K: -0.1834 eV per atom

Unit cell a=3.231 b=3.231 c=12.780 alpha=90.00 beta=90.00 gamma=90.00
Space group P4/mmm (No. 123)
Inequivalent atoms, fractional coordinates:
1 Zr 0.000 0.000 0.000 [1 per cell]
2 Zr 0.000 0.000 0.347 [2 per cell]
3 Zr 0.500 0.500 0.175 [2 per cell]
4 Au 0.500 0.500 0.500 [1 per cell]


No. 2
BeTl2Os after structural relaxation. Source: Alexandria, functional PBE.

Calculated values
Formation enthalpy at 0 K: 0.4242 eV per atom

Unit cell a=3.190 b=3.190 c=7.685 alpha=90.00 beta=90.00 gamma=90.00
Space group P4mm (No. 99)
Inequivalent atoms, fractional coordinates:
1 Be 0.000 0.000 0.000 [1 per cell]
2 Tl 0.000 0.000 0.347 [1 per cell]
3 Tl 0.500 0.500 0.702 [1 per cell]
4 Os 0.500 0.500 0.078 [1 per cell]


No. 3
MnRh2Br after structural relaxation. Source: Alexandria, functional PBE.

Calculated values
Uncorrected formation energy: 0.58 eV/atom

Unit cell a=6.349 b=6.349 c=6.349 alpha=90.00 beta=90.00 gamma=90.00
Space group F-43m (No. 216)
Inequivalent atoms, fractional coordinates:
1 Mn 0.000 0.000 0.000 [4 per cell]
2 Rh 0.000 0.000 0.500 [4 per cell]
3 Rh 0.250 0.250 0.750 [4 per cell]
4 Br 0.250 0.250 0.250 [4 per cell]


No. 4
DySc5Rh4 after structural relaxation. Source: Alexandria, functional PBE.

Calculated values
Formation enthalpy at 0 K: -0.8005 eV per atom

Unit cell a=3.229 b=3.229 c=18.200 alpha=90.00 beta=90.00 gamma=90.00
Space group P4/mmm (No. 123)
Inequivalent atoms, fractional coordinates:
1 Dy 0.000 0.000 0.000 [1 per cell]
2 Sc 0.500 0.500 0.145 [2 per cell]
3 Sc 0.500 0.500 0.321 [2 per cell]
4 Sc 0.500 0.500 0.500 [1 per cell]
5 Rh 0.000 0.000 0.231 [2 per cell]
6 Rh 0.000 0.000 0.411 [2 per cell]


No. 5
FeBBr2 after structural relaxation. Source: Alexandria, functional PBE.

Calculated values
Uncorrected formation energy: 1.17 eV/atom

Unit cell a=6.648 b=6.648 c=6.648 alpha=90.00 beta=90.00 gamma=90.00
Space group Fm-3m (No. 225)
Inequivalent atoms, fractional coordinates:
1 Fe 0.000 0.000 0.000 [4 per cell]
2 B 0.000 0.000 0.500 [4 per cell]
3 Br 0.250 0.250 0.250 [8 per cell]


No. 6
Mg2As after structural relaxation. Source: Alexandria, functional PBE.

Calculated values
Formation enthalpy at 0 K: -0.1553 eV per atom

Unit cell a=3.228 b=3.228 c=12.093 alpha=90.00 beta=90.00 gamma=90.00
Space group I4/mmm (No. 139)
Inequivalent atoms, fractional coordinates:
1 Mg 0.000 0.000 0.151 [4 per cell]
2 As 0.000 0.000 0.500 [2 per cell]


No. 7
BaCaRhO4 after structural relaxation. Source: Alexandria, functional PBE.

Calculated values
Uncorrected formation energy: -1.87 eV/atom

Unit cell a=3.967 b=3.967 c=12.824 alpha=90.00 beta=90.00 gamma=90.00
Space group I4mm (No. 107)
Inequivalent atoms, fractional coordinates:
1 Ba 0.000 0.000 0.000 [2 per cell]
2 Ca 0.000 0.000 0.711 [2 per cell]
3 Rh 0.000 0.000 0.351 [2 per cell]
4 O 0.000 0.000 0.193 [2 per cell]
5 O 0.000 0.000 0.518 [2 per cell]
6 O 0.000 0.500 0.336 [4 per cell]


No. 8
HoTmGeRu after structural relaxation. Source: Alexandria, functional PBE.

Calculated values
Formation enthalpy at 0 K: -0.6435 eV per atom

Unit cell a=3.827 b=4.203 c=10.781 alpha=90.00 beta=90.00 gamma=90.00
Space group Amm2 (No. 38)
Inequivalent atoms, fractional coordinates:
1 Ho 0.000 0.000 0.000 [2 per cell]
2 Tm 0.500 0.000 0.717 [2 per cell]
3 Ge 0.500 0.000 0.423 [2 per cell]
4 Ru 0.000 0.000 0.267 [2 per cell]


Number 1: DOS(E_F) 7.15 states/eV per cell. Number 2: DOS(E_F) 2.16 states/eV per cell. Number 3: DOS(E_F) 19.91 states/eV per cell. Number 4: DOS(E_F) 5.96 states/eV per cell. Number 5: DOS(E_F) 7.81 states/eV per cell. Number 6: DOS(E_F) 2.38 states/eV per cell. Number 7: DOS(E_F) 8.71 states/eV per cell. Number 8: DOS(E_F) 3.85 states/eV per cell.